Record 1
MnTlPb2 | meta-GGA SCAN | PBEsol geometry

Summary:
Uncorrected energy (eV per atom): -60.39
Total magnetization (μB/atom): 1.09

Cell and atoms, written as extended XYZ:
```
4
Lattice="3.355 -4.442 0.000 3.355 4.442 0.000 -0.012 0.000 3.361" Properties=species:S:1:pos:R:3 pbc="T T T"
Mn 0.000 0.000 0.000
Tl 3.355 0.000 0.000
Pb 1.672 2.221 1.681
Pb 1.672 -2.221 1.681
```

=====

Record 2
MnTl2Pb | meta-GGA SCAN | PBEsol geometry

Summary:
Uncorrected energy (eV per atom): -59.55
Total magnetization (μB/atom): 1.08
Relative energy among the computed polymorphs (meV per atom): 58

Cell and atoms, written as extended XYZ:
```
4
Lattice="6.068 -1.667 0.000 6.068 1.667 0.000 -2.258 0.000 4.774" Properties=species:S:1:pos:R:3 pbc="T T T"
Mn 0.000 0.000 0.000
Tl 1.666 0.000 3.736
Tl 8.212 0.000 1.038
Pb 4.939 0.000 2.387
```

=====

Record 3
MnTl2Pb | meta-GGA SCAN | PBEsol geometry

Summary:
Uncorrected energy (eV per atom): -59.60
Total magnetization (μB/atom): 1.03
Relative energy among the computed polymorphs (meV per atom): 0

Cell and atoms, written as extended XYZ:
```
4
Lattice="2.350 -2.358 0.000 2.350 2.358 0.000 0.000 0.000 8.749" Properties=species:S:1:pos:R:3 pbc="T T T"
Mn 0.000 0.000 0.000
Tl 0.000 0.000 4.495
Tl 2.350 0.000 7.011
Pb 2.350 0.000 1.816
```

=====

Record 4
MnTl2Pb | meta-GGA SCAN | PBEsol geometry

Summary:
Uncorrected energy (eV per atom): -59.55
Total magnetization (μB/atom): 1.02
Relative energy among the computed polymorphs (meV per atom): 51

Cell and atoms, written as extended XYZ:
```
4
Lattice="4.292 0.000 0.000 0.000 1.731 6.665 0.000 -1.731 6.665" Properties=species:S:1:pos:R:3 pbc="T T T"
Mn 0.000 0.000 0.000
Tl 0.000 0.000 2.997
Tl 2.146 0.000 11.339
Pb 2.146 0.000 7.520
```

=====

Record 5
MnTlPb | meta-GGA SCAN | PBEsol geometry

Summary:
Uncorrected energy (eV per atom): -55.37
Total magnetization (μB/atom): 1.38

Cell and atoms, written as extended XYZ:
```
3
Lattice="0.000 3.323 3.323 3.323 0.000 3.323 3.323 3.323 0.000" Properties=species:S:1:pos:R:3 pbc="T T T"
Mn 0.000 0.000 0.000
Tl 4.984 4.984 4.984
Pb 1.661 1.661 1.661
```

=====

Record 6
MnPb3W | meta-GGA SCAN | PBEsol geometry

Summary:
Uncorrected energy (eV per atom): -62.21
Total magnetization (μB/atom): 1.04

Cell and atoms, written as extended XYZ:
```
5
Lattice="5.337 0.000 0.000 0.000 5.337 0.000 0.000 0.000 5.337" Properties=species:S:1:pos:R:3 pbc="T T T"
Mn 0.000 0.000 0.000
Pb 0.000 2.668 2.668
Pb 2.668 0.000 2.668
Pb 2.668 2.668 0.000
W 2.668 2.668 2.668
```

=====

Record 7
Mn2PbW | meta-GGA SCAN | PBEsol geometry

Summary:
Uncorrected energy (eV per atom): -45.03
Total magnetization (μB/atom): 1.19

Cell and atoms, written as extended XYZ:
```
4
Lattice="3.239 0.000 0.000 0.000 3.239 0.000 0.000 0.000 5.965" Properties=species:S:1:pos:R:3 pbc="T T T"
Mn 0.000 0.000 0.000
Mn 1.620 1.620 1.236
Pb 0.000 0.000 2.859
W 1.620 1.620 4.800
```

=====

Record 8
Mn2PbW | meta-GGA SCAN | PBEsol geometry

Summary:
Uncorrected energy (eV per atom): -44.79
Total magnetization (μB/atom): 0.00

Cell and atoms, written as extended XYZ:
```
4
Lattice="4.286 0.000 0.000 0.000 4.286 0.000 0.000 0.000 3.117" Properties=species:S:1:pos:R:3 pbc="T T T"
Mn 0.000 2.143 0.000
Mn 2.143 0.000 0.000
Pb 0.000 0.000 1.558
W 2.143 2.143 1.558
```